[1]
SrCaCd3: optimized geometry, PBE.

The calculation puts the density of states at the Fermi level at 6.33 states/eV per cell. The polymorph energy (0 for the lowest one) is 2.55 eV/f.u. The energy of formation from the pure elements comes out at 0.18 eV per atom. Its space group is Pm-3m, No. 221.

The structure in POSCAR format:
```
SrCaCd3
1.0
-1.7763 -0.7389 -5.4503
5.2233 -2.0209 -1.4283
-1.7231 -5.3644 1.2888
Sr Ca Cd
1 1 3
Cartesian
0.8619 -4.0621 -2.7949 Sr
0.0000 0.0000 0.0000 Ca
2.6116 -1.0105 -0.7142 Cd
-0.8616 -2.6822 0.6444 Cd
-0.8881 -0.3694 -2.7251 Cd
```



[2]
SrCaCd2: optimized geometry, PBE.

The calculation puts the density of states at the Fermi level at 5.26 states/eV per cell. The energy of formation from the pure elements comes out at 0.06 eV per atom. Its space group is I-42d, No. 122.

The structure in POSCAR format:
```
SrCaCd2
1.0
-3.3275 4.0711 -0.5045
-3.4867 -3.1490 -2.4140
-7.8065 -1.9564 8.0487
Sr Ca Cd
2 2 4
Cartesian
0.0000 0.0000 0.0000 Sr
-7.2705 1.2879 3.0425 Sr
-3.4071 0.4611 -1.4593 Ca
-7.3501 -2.3222 2.0877 Ca
-4.2190 1.3582 1.4327 Cd
-4.7948 -1.6448 0.4027 Cd
-8.6701 -1.3563 4.7621 Cd
-11.5573 -0.4257 3.6628 Cd
```



[3]
SrCa2Cd6: optimized geometry, PBE.

The calculation puts the density of states at the Fermi level at 6.22 states/eV per cell. The energy of formation from the pure elements comes out at -0.27 eV per atom. Its space group is Immm, No. 71.

The structure in POSCAR format:
```
SrCa2Cd6
1.0
-2.5214 -1.1669 -2.4165
-5.1609 -5.3706 5.1728
-7.6937 2.9118 3.8162
Sr Ca Cd
1 2 6
Cartesian
-12.8546 -2.4588 8.9890 Sr
-10.4506 -2.5841 3.7359 Ca
-4.9254 -1.0416 2.8367 Ca
-6.7175 1.0944 0.8698 Cd
-8.6585 -4.7201 5.7028 Cd
-10.2997 0.6466 4.8237 Cd
-7.2544 -3.2307 3.5185 Cd
-8.1216 -0.3949 3.0541 Cd
-5.0763 -4.2722 1.7489 Cd
```



[4]
SrCaCd4: optimized geometry, PBE.

The calculation puts the density of states at the Fermi level at 5.04 states/eV per cell. The polymorph energy (0 for the lowest one) is 0.20 eV/f.u. The energy of formation from the pure elements comes out at -0.30 eV per atom. Its space group is F-43m, No. 216.

The structure in POSCAR format:
```
SrCaCd4
1.0
-2.3646 -4.5465 3.3649
3.0038 -2.0398 4.9397
-2.1852 1.1553 5.6102
Ca Cd Sr
1 4 1
Cartesian
0.0000 0.0000 0.0000 Ca
0.2181 -1.1179 7.0144 Cd
-0.9666 -3.3957 8.7002 Cd
-2.4716 -2.3738 6.2254 Cd
0.1282 -3.9745 5.8895 Cd
-0.3865 -1.3577 3.4787 Sr
```